Here is a geometry-optimized LuTaCoSn structure from OQMD. Energies are from PBE.

Cell and atoms, written as extended XYZ:
```
4
Lattice="0.000 3.343 3.343 3.343 0.000 3.343 3.343 3.343 0.000" Properties=species:S:1:pos:R:3 pbc="T T T"
Lu 0.000 0.000 0.000
Ta 1.671 1.671 1.671
Co 5.014 5.014 5.014
Sn 3.343 3.343 3.343
```

Total moment ... 3.0 μB/f.u.
E_tot ... -6.60 eV/atom
Excess energy over the best structure of this formula in the dataset ... 0 meV per atom